(1)
This record from Alexandria via LeMat-Bulk describes a relaxed Ac8Te3Ir3Se crystal. The functional is GGA-PBE.

For the total energy, the calculation gives -178.3 eV for the cell shown. The calculated volume comes out at 1085.0 Å³/cell.

It has space group C2/m (No. 12), with a = 15.574 Å, b = 8.992 Å, c = 9.324 Å, α = 90.00°, β = 123.81° and γ = 90.00°. The inequivalent atoms are Ac at (0.016, 0.235, 0.285), Ac at (0.237, 0.000, 0.709), Ac at (0.248, 0.500, 0.716), Te at (0.000, 0.500, 0.000), Te at (0.250, 0.250, 0.000), Ir at (0.000, 0.000, 0.500), Ir at (0.250, 0.250, 0.500) and Se at (0.000, 0.500, 0.500).



(2)
This record from Alexandria via LeMat-Bulk describes a relaxed Ac4Te2IrSe crystal. The functional is GGA-PBE.

For the total energy, the calculation gives -46.3 eV for the cell shown. The calculated volume comes out at 279.7 Å³/cell.

It has space group P2/m (No. 10), with a = 8.022 Å, b = 4.452 Å, c = 8.219 Å, α = 90.00°, β = 107.71° and γ = 90.00°. The inequivalent atoms are Ac at (0.218, 0.000, 0.209), Ac at (0.244, 0.500, 0.777), Te at (0.000, 0.000, 0.500), Te at (0.500, 0.500, 0.500), Ir at (0.000, 0.500, 0.000) and Se at (0.500, 0.000, 0.000).



(3)
This record from Alexandria via LeMat-Bulk describes a relaxed Ac3Si12Ir5 crystal. The functional is GGA-PBE.

For the total energy, the calculation gives -1002.5 eV for the cell shown. The calculated volume comes out at 3630.2 Å³/cell.

It has space group Ia-3d (No. 230), with a = 15.369 Å, b = 15.369 Å, c = 15.369 Å, α = 90.00°, β = 90.00° and γ = 90.00°. The inequivalent atoms are Ac at (0.000, 0.250, 0.125), Si at (0.063, 0.125, 0.927), Ir at (0.000, 0.000, 0.000) and Ir at (0.000, 0.250, 0.375).



(4)
This record from Alexandria via LeMat-Bulk describes a relaxed Ac2Si3Ir crystal. The functional is GGA-PBE.

The calculation puts the distance to the lowest polymorph of the same formula at 0.32 eV per formula unit. For the total energy, the calculation gives -37.9 eV for the cell shown. The calculated volume comes out at 141.6 Å³/cell.

It has space group Pmm2 (No. 25), with a = 4.223 Å, b = 4.583 Å, c = 7.313 Å, α = 90.00°, β = 90.00° and γ = 90.00°. The inequivalent atoms are Ac at (0.000, 0.000, 0.000), Ac at (0.500, 0.000, 0.490), Si at (0.000, 0.500, 0.324), Si at (0.000, 0.500, 0.658), Si at (0.500, 0.500, 0.835) and Ir at (0.500, 0.500, 0.164).